Entry 1:
# MgCd2Ga, optimized geometry, DFT PBE
# D(E_F)   0.93 states/eV/f.u.
# Formation energy from the elements   -0.04 eV per atom
# ρ   6.22 g/cm3
data_MgCd2Ga
_chemical_formula_sum 'Mg2 Cd4 Ga2'
_space_group_name_H-M_alt 'P 1 21/m 1'
_space_group_IT_number 11
_space_group_name_Hall '-P 2yb'
_cell_length_a 5.156
_cell_length_b 3.053
_cell_length_c 10.839
_cell_angle_alpha 90.00
_cell_angle_beta 94.18
_cell_angle_gamma 90.00
loop_
_atom_site_label
_atom_site_type_symbol
_atom_site_fract_x
_atom_site_fract_y
_atom_site_fract_z
Mg1 Mg 0.116 0.250 0.124
Cd1 Cd 0.051 0.750 0.374
Cd2 Cd 0.451 0.750 0.638
Ga1 Ga 0.385 0.250 0.892

---

Entry 2:
# Mg3CdGa2, optimized geometry, DFT PBE
# D(E_F)   2.20 states/eV/f.u.
# Formation energy from the elements   -0.12 eV per atom
# ρ   4.46 g/cm3
data_Mg3CdGa2
_chemical_formula_sum 'Mg3 Cd1 Ga2'
_space_group_name_H-M_alt 'P 4/m m m'
_space_group_IT_number 123
_space_group_name_Hall '-P 4 2'
_cell_length_a 3.233
_cell_length_b 3.233
_cell_length_c 11.569
_cell_angle_alpha 90.00
_cell_angle_beta 90.00
_cell_angle_gamma 90.00
loop_
_atom_site_label
_atom_site_type_symbol
_atom_site_fract_x
_atom_site_fract_y
_atom_site_fract_z
Mg1 Mg 0.000 0.000 0.000
Mg2 Mg 0.000 0.000 0.321
Cd1 Cd 0.500 0.500 0.500
Ga1 Ga 0.500 0.500 0.159